A plane-wave DFT calculation with PBEsol was carried out for an optimized crystal structure of MnNiSe2.

The space group is C2/m (No. 12) and the conventional cell measures 5.5932, 6.9778 and 4.4323 Å, with angles of 90.00, 128.17 and 90.00 degrees. The asymmetric unit holds Mn at (0.0000, 0.0000, 0.0000), Ni at (0.0000, 0.5000, 0.0000) and Se at (0.2500, 0.2500, 0.5000).

The energy above the most stable polymorph in this dataset is 445 meV/atom. The calculation puts the total magnetization at 8.50 μB per cell. As for the volume: 16.999 Å³ per atom. Its formation energy (no corrections) is 0.1233 eV/atom.

=====

A plane-wave DFT calculation with PBEsol was carried out for an optimized crystal structure of MnNiSe2.

The space group is P4/mmm (No. 123) and the conventional cell measures 4.2874, 4.2874 and 3.1269 Å, with angles of 90.00, 90.00 and 90.00 degrees. The asymmetric unit holds Mn at (0.0000, 0.0000, 0.0000), Ni at (0.5000, 0.5000, 0.0000) and Se at (0.0000, 0.5000, 0.5000).

The energy above the most stable polymorph in this dataset is 373 meV/atom. The calculation puts the total magnetization at 3.07 μB per cell. As for the volume: 14.369 Å³ per atom. Its formation energy (no corrections) is 0.0512 eV/atom.

=====

A plane-wave DFT calculation with PBEsol was carried out for an optimized crystal structure of MnNiSe2.

The space group is Fm-3m (No. 225) and the conventional cell measures 6.1504, 6.1504 and 6.1504 Å, with angles of 90.00, 90.00 and 90.00 degrees. The asymmetric unit holds Mn at (0.0000, 0.0000, 0.0000), Ni at (0.0000, 0.0000, 0.5000) and Se at (0.2500, 0.2500, 0.2500).

The energy above the most stable polymorph in this dataset is 381 meV/atom. The calculation puts the total magnetization at 12.19 μB per cell. As for the volume: 14.541 Å³ per atom. Its formation energy (no corrections) is 0.0593 eV/atom.